Computed, not measured: an optimized crystal structure of CaSm2Ni at the GGA-PBE level of DFT.

Output
SG = No. 123
DFT formation energy = -0.40 eV/f.u.
Crystal system = tetragonal
Total magnetization = 0.000 μB/f.u.

Cell: 3.520 3.520 9.444 Å, 90.00 90.00 90.00°
Fractional positions:
Sm  0.000  0.000  0.172
Sm  0.000  0.000  0.828
Ni  0.500  0.500  0.000
Ca  0.500  0.500  0.500



Computed, not measured: an optimized crystal structure of CaSm3Ni8 at the GGA-PBE level of DFT.

Output
SG = No. 160
DFT formation energy = -3.92 eV/f.u.
Crystal system = trigonal
Total magnetization = 0.000 μB/f.u.

Cell: 5.117 5.117 8.877 Å, 73.25 73.25 60.00°
Fractional positions:
Ni  0.188  0.188  0.437
Ni  0.938  0.938  0.689
Ni  0.940  0.437  0.186
Ni  0.437  0.437  0.186
Ni  0.938  0.435  0.689
Ni  0.435  0.938  0.689
Ni  0.437  0.940  0.186
Ni  0.687  0.687  0.938
Sm  0.998  0.998  0.007
Sm  0.502  0.502  0.493
Sm  0.376  0.376  0.872
Ca  0.874  0.874  0.379



Computed, not measured: an optimized crystal structure of Ca2Ni5Sn4 at the GGA-PBE level of DFT.

Output
SG = No. 69
DFT formation energy = -3.21 eV/f.u.
Crystal system = orthorhombic
Total magnetization = 0.000 μB/f.u.

Cell: 5.655 5.732 8.244 Å, 80.26 69.94 60.44°
Fractional positions:
Ca  0.131  0.000  0.739
Ca  0.869  0.000  0.261
Sn  0.533  0.678  0.256
Sn  0.789  0.678  0.744
Sn  0.467  0.322  0.744
Sn  0.211  0.322  0.256
Ni  0.250  0.500  0.500
Ni  0.000  0.500  0.000
Ni  0.500  0.000  0.000
Ni  0.750  0.500  0.500
Ni  0.500  0.500  0.000



Question: Which value of DFT formation energy does entry 3 give?
Answer: -3.21 eV/f.u.